First-principles (PBE) data for a geometry-optimized Nd6GeSe12 structure, as listed in Alexandria.

Cell and atoms, written as CIF:
```
data_Nd6GeSe12
_chemical_formula_sum 'Nd18 Ge3 Se36'
_space_group_name_H-M_alt 'R -3'
_space_group_IT_number 148
_space_group_name_Hall '-R 3'
_cell_length_a 12.5789
_cell_length_b 12.5789
_cell_length_c 12.1070
_cell_angle_alpha 90.00
_cell_angle_beta 90.00
_cell_angle_gamma 120.00
loop_
_atom_site_label
_atom_site_type_symbol
_atom_site_fract_x
_atom_site_fract_y
_atom_site_fract_z
Nd1 Nd 0.0500 0.2778 0.1384
Ge1 Ge 0.0000 0.0000 0.5000
Se1 Se 0.0356 0.2146 0.8984
Se2 Se 0.0731 0.2064 0.3837
```

Formation energy (no corrections): -1.427 eV/atom

=====

First-principles (PBE) data for a geometry-optimized Co2TcHgMo structure, as listed in Alexandria.

Cell and atoms, written as CIF:
```
data_Co2TcHgMo
_chemical_formula_sum 'Co2 Tc1 Hg1 Mo1'
_space_group_name_H-M_alt 'P 4/m m m'
_space_group_IT_number 123
_space_group_name_Hall '-P 4 2'
_cell_length_a 4.489
_cell_length_b 4.489
_cell_length_c 4.673
_cell_angle_alpha 90.00
_cell_angle_beta 90.00
_cell_angle_gamma 90.00
loop_
_atom_site_label
_atom_site_type_symbol
_atom_site_fract_x
_atom_site_fract_y
_atom_site_fract_z
Co1 Co 0.000 0.500 0.000
Tc1 Tc 0.000 0.000 0.000
Hg1 Hg 0.500 0.500 0.500
Mo1 Mo 0.000 0.000 0.500
```

Calculated formation energy: 6.949 eV per formula unit

=====

First-principles (PBE) data for a geometry-optimized MnTlAsBr2 structure, as listed in Alexandria.

Cell and atoms, written as CIF:
```
data_MnTlAsBr2
_chemical_formula_sum 'Mn1 Tl1 As1 Br2'
_space_group_name_H-M_alt 'P 4/m m m'
_space_group_IT_number 123
_space_group_name_Hall '-P 4 2'
_cell_length_a 5.468
_cell_length_b 5.468
_cell_length_c 4.763
_cell_angle_alpha 90.00
_cell_angle_beta 90.00
_cell_angle_gamma 90.00
loop_
_atom_site_label
_atom_site_type_symbol
_atom_site_fract_x
_atom_site_fract_y
_atom_site_fract_z
Mn1 Mn 0.000 0.000 0.000
Tl1 Tl 0.500 0.500 0.500
As1 As 0.000 0.000 0.500
Br1 Br 0.000 0.500 0.000
```

Formation energy (no corrections): -0.238 eV/atom
Polymorph energy (0 for the lowest one): 0.000 eV/f.u.

=====

First-principles (PBE) data for a geometry-optimized SmTm2PuN4 structure, as listed in Alexandria.

Cell and atoms, written as CIF:
```
data_SmTm2PuN4
_chemical_formula_sum 'Sm1 Tm2 Pu1 N4'
_space_group_name_H-M_alt 'P 1 2/m 1'
_space_group_IT_number 10
_space_group_name_Hall '-P 2y'
_cell_length_a 5.993
_cell_length_b 3.472
_cell_length_c 5.996
_cell_angle_alpha 90.00
_cell_angle_beta 109.37
_cell_angle_gamma 90.00
loop_
_atom_site_label
_atom_site_type_symbol
_atom_site_fract_x
_atom_site_fract_y
_atom_site_fract_z
Sm1 Sm 0.000 0.000 0.000
Tm1 Tm 0.000 0.500 0.500
Tm2 Tm 0.500 0.000 0.500
Pu1 Pu 0.500 0.500 0.000
N1 N 0.256 0.000 0.747
N2 N 0.261 0.500 0.257
```

Formation energy (no corrections): -1.566 eV/atom

=====

Values for density, Mg/m³, ordered as above
5.66; 9.03; 5.76; 11.12
Values for electronic total energy, eV per atom, ordered as above
-5.376; -5.752; -4.144; -9.228